Entry 1:
Entry from the Alexandria database: a geometry-optimized ReTc2Te structure (PBE).

Properties
ΔE_f (raw)   0.82 eV/atom
DOS at the Fermi energy   11.08 states/eV per cell
Crystal system   orthorhombic

abc: 3.081 4.780 9.392
angles: 90.00 90.00 90.00
Space group Cmm2 (No. 35)
One atom of each set of equivalent atoms:
Re: 0.000 0.000 0.000 x2
Tc: 0.000 0.000 0.555 x2
Tc: 0.000 0.500 0.778 x2
Te: 0.000 0.500 0.289 x2

***

Entry 2:
Entry from the Alexandria database: a geometry-optimized ReTcTe2 structure (PBE).

Properties
ΔE_f (raw)   0.59 eV/atom
DOS at the Fermi energy   2.75 states/eV per cell
Crystal system   tetragonal
Distance to the lowest polymorph of the same formula   356 meV per atom

abc: 3.302 3.302 6.610
angles: 90.00 90.00 90.00
Space group P4/mmm (No. 123)
One atom of each set of equivalent atoms:
Re: 0.000 0.000 0.000 x1
Tc: 0.000 0.000 0.500 x1
Te: 0.500 0.500 0.251 x2

***

Entry 3:
Entry from the Alexandria database: a geometry-optimized ReTcTe2 structure (PBE).

Properties
ΔE_f (raw)   0.58 eV/atom
DOS at the Fermi energy   4.99 states/eV per cell
Crystal system   monoclinic
Distance to the lowest polymorph of the same formula   348 meV per atom

abc: 8.395 3.234 5.602
angles: 90.00 102.70 90.00
Space group C2/m (No. 12)
One atom of each set of equivalent atoms:
Re: 0.000 0.000 0.000 x2
Tc: 0.000 0.500 0.500 x2
Te: 0.250 0.000 0.750 x4

***

Question: Which value of ΔE_f (raw) does entry 2 give?
Answer: 0.59 eV/atom